Entry 1:
Computed, not measured: HfTiN2 after structural relaxation at the PBE level of DFT.

Unit cell a=3.1333 b=3.1333 c=15.1323 alpha=90.00 beta=90.00 gamma=120.00
Space group R-3m (No. 166, hexagonal axes)
One atom of each set of equivalent atoms:
Hf1 0.0000 0.0000 0.0000 (multiplicity 3)
Ti1 0.0000 0.0000 0.5000 (multiplicity 3)
N1 0.0000 0.0000 0.2474 (multiplicity 6)

Uncorrected formation energy: -1720 meV per atom
Crystal system: trigonal
Spin magnetization: 0.00 μB per formula unit
Total DFT energy (no corrections): -124.13 eV/cell

Entry 2:
Computed, not measured: HfTiN3 after structural relaxation at the PBE level of DFT.

Unit cell a=4.059 b=4.059 c=4.059 alpha=90.00 beta=90.00 gamma=90.00
Space group Pm-3m (No. 221)
One atom of each set of equivalent atoms:
Hf1 0.000 0.000 0.000 (multiplicity 1)
Ti1 0.500 0.500 0.500 (multiplicity 1)
N1 0.000 0.000 0.500 (multiplicity 3)

Uncorrected formation energy: 258 meV per atom
Crystal system: cubic
Spin magnetization: 0.00 μB per formula unit
Total DFT energy (no corrections): -41.53 eV/cell

Entry 3:
Computed, not measured: HfTiN after structural relaxation at the PBE level of DFT.

Unit cell a=5.439 b=5.439 c=5.439 alpha=90.00 beta=90.00 gamma=90.00
Space group F-43m (No. 216)
One atom of each set of equivalent atoms:
Hf1 0.000 0.000 0.000 (multiplicity 4)
Ti1 0.000 0.000 0.500 (multiplicity 4)
N1 0.250 0.250 0.750 (multiplicity 4)

Uncorrected formation energy: -343 meV per atom
Crystal system: cubic
Spin magnetization: 0.00 μB per formula unit
Total DFT energy (no corrections): -108.81 eV/cell
Distance to the lowest polymorph of the same formula: 0.908 eV per atom

Entry 4:
Computed, not measured: Hf5Ti2N4 after structural relaxation at the PBE level of DFT.

Unit cell a=20.464 b=3.154 c=5.377 alpha=90.00 beta=100.27 gamma=90.00
Space group C2/m (No. 12)
One atom of each set of equivalent atoms:
Hf1 0.000 0.000 0.000 (multiplicity 2)
Hf2 0.137 0.500 0.187 (multiplicity 4)
Hf3 0.221 0.500 0.723 (multiplicity 4)
Ti1 0.063 0.500 0.648 (multiplicity 4)
N1 0.035 0.500 0.284 (multiplicity 4)
N2 0.184 0.000 0.436 (multiplicity 4)

Uncorrected formation energy: -910 meV per atom
Crystal system: monoclinic
Spin magnetization: 0.00 μB per formula unit
Total DFT energy (no corrections): -217.75 eV/cell

Entry 5:
Computed, not measured: Hf3TiN2 after structural relaxation at the PBE level of DFT.

Unit cell a=8.007 b=7.769 c=5.302 alpha=90.00 beta=90.00 gamma=90.00
Space group Cmcm (No. 63)
One atom of each set of equivalent atoms:
Hf1 0.000 0.080 0.250 (multiplicity 4)
Hf2 0.175 0.253 0.750 (multiplicity 8)
Ti1 0.000 0.424 0.250 (multiplicity 4)
N1 0.247 0.000 0.000 (multiplicity 8)

Uncorrected formation energy: -628 meV per atom
Crystal system: orthorhombic
Spin magnetization: 0.00 μB per formula unit
Total DFT energy (no corrections): -232.69 eV/cell

Entry 6:
Computed, not measured: Hf2TiN3 after structural relaxation at the PBE level of DFT.

Unit cell a=3.153 b=3.153 c=13.439 alpha=90.00 beta=90.00 gamma=90.00
Space group I4/mmm (No. 139)
One atom of each set of equivalent atoms:
Hf1 0.000 0.000 0.160 (multiplicity 4)
Ti1 0.000 0.000 0.500 (multiplicity 2)
N1 0.000 0.000 0.000 (multiplicity 2)
N2 0.000 0.000 0.333 (multiplicity 4)

Uncorrected formation energy: -1741 meV per atom
Crystal system: tetragonal
Spin magnetization: 0.00 μB per formula unit
Total DFT energy (no corrections): -126.45 eV/cell
Distance to the lowest polymorph of the same formula: 0.000 eV per atom

Entry 7:
Computed, not measured: HfTi2N3 after structural relaxation at the PBE level of DFT.

Unit cell a=3.100 b=4.342 c=9.280 alpha=90.00 beta=90.00 gamma=90.00
Space group Immm (No. 71)
One atom of each set of equivalent atoms:
Hf1 0.000 0.000 0.000 (multiplicity 2)
Ti1 0.000 0.000 0.328 (multiplicity 4)
N1 0.000 0.500 0.000 (multiplicity 2)
N2 0.000 0.500 0.331 (multiplicity 4)

Uncorrected formation energy: -1717 meV per atom
Crystal system: orthorhombic
Spin magnetization: 0.00 μB per formula unit
Total DFT energy (no corrections): -122.04 eV/cell

Entry 8:
Computed, not measured: HfTi2N after structural relaxation at the PBE level of DFT.

Unit cell a=4.596 b=8.491 c=3.067 alpha=90.00 beta=90.00 gamma=90.00
Space group Cmmm (No. 65)
One atom of each set of equivalent atoms:
Hf1 0.000 0.000 0.000 (multiplicity 2)
Ti1 0.000 0.338 0.500 (multiplicity 4)
N1 0.000 0.500 0.000 (multiplicity 2)

Uncorrected formation energy: -1015 meV per atom
Crystal system: orthorhombic
Spin magnetization: 0.00 μB per formula unit
Total DFT energy (no corrections): -76.26 eV/cell

Entry 9:
Computed, not measured: HfTiN2 after structural relaxation at the PBE level of DFT.

Unit cell a=5.464 b=5.464 c=5.464 alpha=90.00 beta=90.00 gamma=90.00
Space group Fm-3m (No. 225)
One atom of each set of equivalent atoms:
Hf1 0.000 0.000 0.000 (multiplicity 4)
Ti1 0.000 0.000 0.500 (multiplicity 4)
N1 0.250 0.250 0.250 (multiplicity 8)

Uncorrected formation energy: -830 meV per atom
Crystal system: cubic
Spin magnetization: 0.00 μB per formula unit
Total DFT energy (no corrections): -151.28 eV/cell

Entry 10:
Computed, not measured: Hf12TiN7 after structural relaxation at the PBE level of DFT.

Unit cell a=11.4824 b=11.4824 c=7.8670 alpha=90.00 beta=90.00 gamma=120.00
Space group R-3 (No. 148, hexagonal axes)
One atom of each set of equivalent atoms:
Hf1 0.0273 0.5888 0.1619 (multiplicity 18)
Hf2 0.0526 0.1745 0.8291 (multiplicity 18)
Ti1 0.0000 0.0000 0.5000 (multiplicity 3)
N1 0.0000 0.0000 0.0000 (multiplicity 3)
N2 0.0509 0.1761 0.3361 (multiplicity 18)

Uncorrected formation energy: -1224 meV per atom
Crystal system: trigonal
Spin magnetization: 0.00 μB per formula unit
Total DFT energy (no corrections): -630.27 eV/cell

Entry 11:
Computed, not measured: HfTiN after structural relaxation at the PBE level of DFT.

Unit cell a=2.990 b=6.463 c=8.621 alpha=90.00 beta=90.00 gamma=90.00
Space group Imm2 (No. 44)
One atom of each set of equivalent atoms:
Hf1 0.000 0.000 0.000 (multiplicity 2)
Hf2 0.000 0.500 0.022 (multiplicity 2)
Ti1 0.000 0.276 0.741 (multiplicity 4)
N1 0.000 0.245 0.454 (multiplicity 4)

Uncorrected formation energy: -856 meV per atom
Crystal system: orthorhombic
Spin magnetization: 0.00 μB per formula unit
Total DFT energy (no corrections): -114.97 eV/cell
Distance to the lowest polymorph of the same formula: 0.395 eV per atom

Entry 12:
Computed, not measured: HfTi2TlN after structural relaxation at the PBE level of DFT.

Unit cell a=5.233 b=5.233 c=4.049 alpha=90.00 beta=90.00 gamma=90.00
Space group P4/mmm (No. 123)
One atom of each set of equivalent atoms:
Hf1 0.000 0.000 0.000 (multiplicity 1)
Ti1 0.000 0.500 0.000 (multiplicity 2)
Tl1 0.500 0.500 0.500 (multiplicity 1)
N1 0.000 0.000 0.500 (multiplicity 1)

Uncorrected formation energy: 907 meV per atom
Crystal system: tetragonal
Spin magnetization: 2.02 μB per formula unit
Total DFT energy (no corrections): -31.90 eV/cell
Distance to the lowest polymorph of the same formula: 1.619 eV per atom